KSrAg4: optimized geometry, GGA-PBE.

Computed properties:
Energy relative to the elements = -0.08 eV/atom
Raw total energy = -2.448 eV per atom
M_tot = 0.00 μB per cell
Crystal system = cubic

Cell: 5.961 5.961 5.961 Å, 60.00 60.00 60.00°
Positions (direct):
Ag 0.625 0.125 0.625
Ag 0.125 0.625 0.625
Ag 0.625 0.625 0.625
Ag 0.625 0.625 0.125
K 0.250 0.250 0.250
Sr 0.000 0.000 0.000